Cs2ZnPPt | Alexandria | PBE | optimized geometry; energy above the most stable polymorph in this dataset = 0.0037 eV/atom; volume = 43.19 Å³/atom; space group = No. 123; final energy = -3.0500 eV per atom
1.0
-5.529 -4.093 -1.363
1.315 -3.709 5.805
-2.573 2.706 2.312
Cs P Zn Pt
2 1 1 1
Direct
0.000 0.500 0.000
0.500 0.000 0.000
0.000 0.000 0.000
0.500 0.500 0.500
0.000 0.000 0.500